Density functional theory data (PBE) for a geometry-optimized ScC2O2 structure.

Its crystal system is tetragonal. The calculation puts the total energy at -6.752 eV per atom. For the excess energy over the best structure of this formula in the dataset, the calculation gives 0.0292 eV/atom.

The structure belongs to space group I4/mmm (No. 139); the cell edges are 2.6303, 2.6303 and 13.5632 Å and the angles 90.00°, 90.00° and 90.00°. The distinct sites, in fractional coordinates, are Sc at (0.0000, 0.0000, 0.0000), C at (0.0000, 0.5000, 0.2500) and O at (0.0000, 0.0000, 0.4187).